Material: LiZr2Se
Method: DFT, GGA-PBE
State: relaxed

Lattice parameters (Å, degrees): 5.9281 7.6598 3.2881 90.00 90.38 90.00
Space group C2/m (No. 12)
Unique sites:
Li 0.0000 0.0000 0.0000 x2
Zr 0.2500 0.2500 0.5000 x4
Se 0.0000 0.5000 0.0000 x2

## Properties
**E_tot**: -6.00 eV/atom
**Crystal system**: monoclinic

Material: Li2ZrSe3
Method: DFT, GGA-PBE
State: relaxed

Lattice parameters (Å, degrees): 6.7243 11.6454 6.7828 90.00 109.37 90.00
Space group C2/m (No. 12)
Unique sites:
Li 0.0000 0.0000 0.0000 x2
Li 0.0000 0.1693 0.5000 x4
Li 0.0000 0.5000 0.5000 x2
Zr 0.0000 0.3334 0.0000 x4
Se 0.2390 0.5000 0.2469 x4
Se 0.2478 0.3290 0.7564 x8

## Properties
**E_tot**: -5.12 eV/atom
**Relative energy among the computed polymorphs**: 0.0 meV/atom
**Crystal system**: monoclinic

Material: Li5Zr3Se8
Method: DFT, GGA-PBE
State: relaxed

Lattice parameters (Å, degrees): 7.6834 7.6834 19.3337 90.00 90.00 120.00
Space group R-3m (No. 166, hexagonal axes)
Unique sites:
Li 0.0000 0.0000 0.0000 x3
Li 0.0000 0.0000 0.5000 x3
Li 0.0000 0.5000 0.0000 x9
Zr 0.0000 0.5000 0.5000 x9
Se 0.0000 0.0000 0.2505 x6
Se 0.0029 0.5014 0.7519 x18

## Properties
**E_tot**: -5.26 eV/atom
**Crystal system**: trigonal

Material: LiZr2Se
Method: DFT, GGA-PBE
State: relaxed

Lattice parameters (Å, degrees): 3.6971 3.6971 20.6453 90.00 90.00 120.00
Space group R-3m (No. 166, hexagonal axes)
Unique sites:
Li 0.0000 0.0000 0.0000 x3
Zr 0.0000 0.0000 0.2453 x6
Se 0.0000 0.0000 0.5000 x3

## Properties
**E_tot**: -5.95 eV/atom
**Crystal system**: trigonal

For the records above, the corresponding calculated density values read 5.97; 4.53; 4.74; 5.47 g/cm3.
For the records above, the corresponding raw formation energy values read -1.52; -7.92; -21.06; -1.31 eV/f.u..